# 1
# TlAsH2F10

TlAsH2F10 at its PBEsol-relaxed geometry (SCAN, the Alexandria database).

a = 5.6207 Å, b = 5.7997 Å, c = 21.5997 Å
α = 90.00°, β = 98.04°, γ = 90.00°
Element x y z (fractional)
Tl 0.2383 0.1109 0.2281
Tl 0.2383 0.3891 0.7281
Tl 0.7617 0.6109 0.2719
Tl 0.7617 0.8891 0.7719
As 0.4542 0.7419 0.1004
As 0.4542 0.7581 0.6004
As 0.5458 0.2419 0.3996
As 0.5458 0.2581 0.8996
H 0.0285 0.7269 0.3988
H 0.0285 0.7731 0.8988
H 0.1154 0.7330 0.9892
H 0.1154 0.7670 0.4892
H 0.8846 0.2330 0.5108
H 0.8846 0.2670 0.0108
H 0.9715 0.2269 0.1012
H 0.9715 0.2731 0.6012
F 0.0314 0.6336 0.3575
F 0.0314 0.8664 0.8575
F 0.0382 0.6563 0.9496
F 0.0382 0.8437 0.4496
F 0.0616 0.0681 0.7455
F 0.0616 0.4319 0.2455
F 0.2061 0.6573 0.5446
F 0.2061 0.8427 0.0446
F 0.2474 0.6358 0.1465
F 0.2474 0.8642 0.6465
F 0.3030 0.1586 0.3419
F 0.3030 0.3414 0.8419
F 0.3474 0.1338 0.9438
F 0.3474 0.3662 0.4438
F 0.4390 0.0135 0.1406
F 0.4390 0.4865 0.6406
F 0.4442 0.6858 0.7653
F 0.4442 0.8142 0.2653
F 0.4593 0.0198 0.5622
F 0.4593 0.4802 0.0622
F 0.5407 0.5198 0.9378
F 0.5407 0.9802 0.4378
F 0.5558 0.1858 0.7347
F 0.5558 0.3142 0.2347
F 0.5610 0.5135 0.3594
F 0.5610 0.9865 0.8594
F 0.6526 0.6338 0.5562
F 0.6526 0.8662 0.0562
F 0.6970 0.6586 0.1581
F 0.6970 0.8414 0.6581
F 0.7526 0.1358 0.3535
F 0.7526 0.3642 0.8535
F 0.7939 0.1573 0.9554
F 0.7939 0.3427 0.4554
F 0.9384 0.5681 0.7545
F 0.9384 0.9319 0.2545
F 0.9618 0.1563 0.5504
F 0.9618 0.3437 0.0504
F 0.9686 0.1336 0.1425
F 0.9686 0.3664 0.6425

Results
Total magnetic moment   0.2 μB per cell
DOS(E_F)   0.0 states/eV/f.u.
VASP energy   -11.551 eV per atom

***

# 2
# KHfAsF2

KHfAsF2 at its PBEsol-relaxed geometry (SCAN, the Alexandria database).

a = 4.7421 Å, b = 4.7421 Å, c = 5.1232 Å
α = 90.00°, β = 90.00°, γ = 90.00°
Element x y z (fractional)
K 0.0000 0.0000 0.0000
Hf 0.5000 0.5000 0.0000
As 0.5000 0.5000 0.5000
F 0.0000 0.5000 0.5000
F 0.5000 0.0000 0.5000

Results
Total magnetic moment   0.2 μB per cell
Formation energy (no corrections)   -417.6 meV/atom
DOS(E_F)   3.5 states/eV/f.u.

***

# 3
# HfMoAs2F

HfMoAs2F at its PBEsol-relaxed geometry (SCAN, the Alexandria database).

a = 4.6852 Å, b = 4.6852 Å, c = 3.8479 Å
α = 90.00°, β = 90.00°, γ = 90.00°
Element x y z (fractional)
Hf 0.0000 0.0000 0.0000
Mo 0.5000 0.5000 0.0000
As 0.0000 0.5000 0.5000
As 0.5000 0.0000 0.5000
F 0.0000 0.0000 0.5000

Results
Total magnetic moment   1.8 μB per cell
Formation energy (no corrections)   36.6 meV/atom
DOS(E_F)   3.4 states/eV/f.u.

***

Question: What is the formula in the first record?
Answer: TlAsH2F10

***

Question: The highest total magnetic moment belongs to which entry?
Answer: HfMoAs2F